! NpVTcRh (PBE, optimized geometry); values from VASP
&SYSTEM
  ibrav = 0, nat = 4, ntyp = 4
/
ATOMIC_SPECIES
Np 237.00 Np.upf
V 50.94 V.upf
Tc 98.00 Tc.upf
Rh 102.91 Rh.upf
ATOMIC_POSITIONS angstrom
Np 0.000 0.000 0.000
V 3.204 3.204 3.204
Tc 1.602 1.602 1.602
Rh 4.806 4.806 4.806
CELL_PARAMETERS angstrom
0.000 3.204 3.204
3.204 0.000 3.204
3.204 3.204 0.000
! Calculated total energy: -9.964 eV/atom
! ΔE_f: -0.020 eV per atom